1.
This record from Alexandria describes crystalline NdY3HoTm at its relaxed geometry. The functional is PBE-GGA.

* space-group type: No. 63
* E_form: 2 kJ per mole of atoms

Unit cell a=7.983 b=7.983 c=10.091 alpha=90.00 beta=90.00 gamma=143.16
Positions (direct):
Nd 0.000 0.000 0.000
Nd 0.000 0.000 0.500
Y 0.167 0.833 0.750
Y 0.333 0.667 0.000
Y 0.333 0.667 0.500
Y 0.667 0.333 0.000
Y 0.667 0.333 0.500
Y 0.833 0.167 0.250
Ho 0.499 0.501 0.750
Ho 0.501 0.499 0.250
Tm 0.166 0.834 0.250
Tm 0.834 0.166 0.750


2.
This record from Alexandria describes crystalline Sm5AsS5 at its relaxed geometry. The functional is PBE-GGA.

* space-group type: No. 12

Unit cell a=7.008 b=7.008 c=8.114 alpha=106.79 beta=106.79 gamma=48.17
Positions (direct):
Sm 0.000 0.000 0.000
Sm 0.334 0.334 0.661
Sm 0.338 0.338 0.177
Sm 0.662 0.662 0.823
Sm 0.666 0.666 0.339
As 0.500 0.500 0.000
S 0.168 0.168 0.331
S 0.172 0.172 0.842
S 0.500 0.500 0.500
S 0.828 0.828 0.158
S 0.832 0.832 0.669


3.
This record from Alexandria describes crystalline OsAu2Br8 at its relaxed geometry. The functional is PBE-GGA.

* space-group type: No. 2

Unit cell a=7.280 b=7.602 c=7.941 alpha=80.43 beta=71.16 gamma=75.48
Positions (direct):
Os 0.000 0.000 0.000
Au 0.245 0.547 0.267
Au 0.755 0.453 0.733
Br 0.044 0.103 0.260
Br 0.048 0.306 0.827
Br 0.365 0.891 0.888
Br 0.471 0.609 0.634
Br 0.529 0.391 0.366
Br 0.635 0.109 0.112
Br 0.952 0.694 0.173
Br 0.956 0.897 0.740


4.
This record from Alexandria describes crystalline NaLiEuRh at its relaxed geometry. The functional is PBE-GGA.

* space-group type: No. 216
* E_form: 3 kJ per mole of atoms

Unit cell a=4.967 b=4.967 c=4.967 alpha=60.00 beta=60.00 gamma=60.00
Positions (direct):
Na 0.000 0.000 0.000
Li 0.750 0.750 0.750
Eu 0.250 0.250 0.250
Rh 0.500 0.500 0.500


5.
This record from Alexandria describes crystalline Ti2GeRu3 at its relaxed geometry. The functional is PBE-GGA.

* space-group type: No. 65
* E_form: -65 kJ per mole of atoms

Unit cell a=6.830 b=6.830 c=3.091 alpha=90.00 beta=90.00 gamma=143.37
Positions (direct):
Ti 0.165 0.835 0.000
Ti 0.835 0.165 0.000
Ge 0.500 0.500 0.000
Ru 0.000 0.000 0.500
Ru 0.334 0.666 0.500
Ru 0.666 0.334 0.500


6.
This record from Alexandria describes crystalline Cs2RbCdAs at its relaxed geometry. The functional is PBE-GGA.

* space-group type: No. 123
* E_form: -9 kJ per mole of atoms

Unit cell a=7.465 b=7.465 c=5.364 alpha=90.00 beta=90.00 gamma=90.00
Positions (direct):
Cs 0.000 0.500 0.000
Cs 0.500 0.000 0.000
Rb 0.000 0.000 0.500
Cd 0.500 0.500 0.500
As 0.500 0.500 0.000


7.
This record from Alexandria describes crystalline PSeI2 at its relaxed geometry. The functional is PBE-GGA.

* space-group type: No. 1

Unit cell a=3.259 b=6.372 c=8.826 alpha=80.75 beta=82.43 gamma=89.95
Positions (direct):
P 0.000 0.000 0.000
Se 0.533 0.802 0.909
I 0.101 0.359 0.710
I 0.892 0.803 0.309


8.
This record from Alexandria describes crystalline EuHoRh2 at its relaxed geometry. The functional is PBE-GGA.

* space-group type: No. 225
* E_form: -58 kJ per mole of atoms

Unit cell a=4.889 b=4.889 c=4.889 alpha=60.00 beta=60.00 gamma=60.00
Positions (direct):
Eu 0.000 0.000 0.000
Ho 0.500 0.500 0.500
Rh 0.250 0.250 0.250
Rh 0.750 0.750 0.750


9.
This record from Alexandria describes crystalline Th4Bi3Ru2 at its relaxed geometry. The functional is PBE-GGA.

* space-group type: No. 15
* E_form: -40 kJ per mole of atoms

Unit cell a=9.093 b=9.093 c=6.425 alpha=94.10 beta=94.10 gamma=81.13
Positions (direct):
Th 0.058 0.747 0.963
Th 0.251 0.435 0.313
Th 0.253 0.942 0.537
Th 0.435 0.251 0.813
Th 0.565 0.749 0.187
Th 0.747 0.058 0.463
Th 0.749 0.565 0.687
Th 0.942 0.253 0.037
Bi 0.024 0.268 0.561
Bi 0.268 0.024 0.061
Bi 0.382 0.618 0.750
Bi 0.618 0.382 0.250
Bi 0.732 0.976 0.939
Bi 0.976 0.732 0.439
Ru 0.150 0.450 0.911
Ru 0.450 0.150 0.411
Ru 0.550 0.850 0.589
Ru 0.850 0.550 0.089


10.
This record from Alexandria describes crystalline CeTc2 at its relaxed geometry. The functional is PBE-GGA.

* space-group type: No. 194
* E_form: -11 kJ per mole of atoms

Unit cell a=5.197 b=5.197 c=9.591 alpha=90.00 beta=90.00 gamma=120.00
Positions (direct):
Ce 0.333 0.667 0.060
Ce 0.333 0.667 0.440
Ce 0.667 0.333 0.560
Ce 0.667 0.333 0.940
Tc 0.000 0.000 0.000
Tc 0.000 0.000 0.500
Tc 0.169 0.339 0.750
Tc 0.169 0.831 0.750
Tc 0.339 0.169 0.250
Tc 0.661 0.831 0.750
Tc 0.831 0.169 0.250
Tc 0.831 0.661 0.250


11.
This record from Alexandria describes crystalline FeOs2Se at its relaxed geometry. The functional is PBE-GGA.

* space-group type: No. 12

Unit cell a=4.930 b=4.930 c=4.364 alpha=94.30 beta=94.30 gamma=33.24
Positions (direct):
Fe 0.000 0.000 0.000
Os 0.282 0.282 0.770
Os 0.718 0.718 0.230
Se 0.500 0.500 0.500


12.
This record from Alexandria describes crystalline LaSnSO2 at its relaxed geometry. The functional is PBE-GGA.

* space-group type: No. 11

Unit cell a=6.899 b=4.214 c=7.719 alpha=90.00 beta=114.99 gamma=90.00
Positions (direct):
La 0.200 0.250 0.450
La 0.800 0.750 0.550
Sn 0.173 0.250 0.948
Sn 0.827 0.750 0.052
S 0.477 0.750 0.717
S 0.523 0.250 0.283
O 0.012 0.750 0.365
O 0.037 0.750 0.908
O 0.963 0.250 0.092
O 0.988 0.250 0.635


13.
This record from Alexandria describes crystalline Hg3RuBr at its relaxed geometry. The functional is PBE-GGA.

* space-group type: No. 221

Unit cell a=5.839 b=5.839 c=5.839 alpha=90.00 beta=90.00 gamma=90.00
Positions (direct):
Hg 0.000 0.000 0.500
Hg 0.000 0.500 0.000
Hg 0.500 0.000 0.000
Ru 0.500 0.500 0.500
Br 0.000 0.000 0.000


14.
This record from Alexandria describes crystalline Pu2UBi at its relaxed geometry. The functional is PBE-GGA.

* space-group type: No. 123
* E_form: 3 kJ per mole of atoms

Unit cell a=4.720 b=4.720 c=4.651 alpha=90.00 beta=90.00 gamma=90.00
Positions (direct):
Pu 0.000 0.500 0.000
Pu 0.500 0.000 0.000
U 0.000 0.000 0.500
Bi 0.500 0.500 0.500


15.
This record from Alexandria describes crystalline K2LiAgHg6 at its relaxed geometry. The functional is PBE-GGA.

* space-group type: No. 2
* E_form: -17 kJ per mole of atoms

Unit cell a=7.395 b=7.417 c=7.742 alpha=89.85 beta=61.49 gamma=60.12
Positions (direct):
K 0.080 0.210 0.130
K 0.920 0.790 0.870
Li 0.500 0.000 0.500
Ag 0.500 0.500 0.000
Hg 0.013 0.244 0.661
Hg 0.410 0.764 0.339
Hg 0.413 0.334 0.347
Hg 0.587 0.666 0.653
Hg 0.590 0.236 0.661
Hg 0.987 0.756 0.339


16.
This record from Alexandria describes crystalline Y2Tm2Ru3 at its relaxed geometry. The functional is PBE-GGA.

* space-group type: No. 2
* E_form: -27 kJ per mole of atoms

Unit cell a=4.892 b=4.892 c=7.916 alpha=107.75 beta=90.07 gamma=119.95
Positions (direct):
Y 0.122 0.245 0.367
Y 0.878 0.755 0.633
Tm 0.374 0.748 0.120
Tm 0.626 0.252 0.880
Ru 0.250 0.499 0.750
Ru 0.500 0.000 0.500
Ru 0.750 0.501 0.250


17.
This record from Alexandria describes crystalline SmScZnPt at its relaxed geometry. The functional is PBE-GGA.

* space-group type: No. 216
* E_form: -69 kJ per mole of atoms

Unit cell a=4.908 b=4.908 c=4.908 alpha=60.00 beta=60.00 gamma=60.00
Positions (direct):
Sm 0.000 0.000 0.000
Sc 0.500 0.500 0.500
Zn 0.250 0.250 0.250
Pt 0.750 0.750 0.750


18.
This record from Alexandria describes crystalline GaSnB2Au at its relaxed geometry. The functional is PBE-GGA.

* space-group type: No. 123
* E_form: 156 kJ per mole of atoms

Unit cell a=4.418 b=4.418 c=5.563 alpha=90.00 beta=90.00 gamma=90.00
Positions (direct):
Ga 0.000 0.000 0.000
Sn 0.000 0.000 0.500
B 0.000 0.500 0.500
B 0.500 0.000 0.500
Au 0.500 0.500 0.000


19.
This record from Alexandria describes crystalline Li3Pm12H5 at its relaxed geometry. The functional is PBE-GGA.

* space-group type: No. 230

Unit cell a=13.725 b=13.725 c=13.725 alpha=109.47 beta=109.47 gamma=109.47
Positions (direct):
Li 0.125 0.250 0.375
Li 0.125 0.375 0.750
Li 0.250 0.375 0.125
Li 0.250 0.875 0.625
Li 0.375 0.125 0.250
Li 0.375 0.750 0.125
Li 0.625 0.250 0.875
Li 0.625 0.875 0.750
Li 0.750 0.125 0.375
Li 0.750 0.625 0.875
Li 0.875 0.625 0.250
Li 0.875 0.750 0.625
Pm 0.013 0.205 0.108
Pm 0.013 0.308 0.905
Pm 0.095 0.608 0.403
Pm 0.095 0.987 0.692
Pm 0.097 0.705 0.692
Pm 0.097 0.892 0.405
Pm 0.108 0.013 0.205
Pm 0.108 0.595 0.903
Pm 0.192 0.205 0.597
Pm 0.192 0.487 0.595
Pm 0.205 0.108 0.013
Pm 0.205 0.597 0.192
Pm 0.295 0.308 0.903
Pm 0.295 0.487 0.392
Pm 0.308 0.903 0.295
Pm 0.308 0.905 0.013
Pm 0.392 0.295 0.487
Pm 0.392 0.597 0.905
Pm 0.403 0.095 0.608
Pm 0.403 0.808 0.795
Pm 0.405 0.097 0.892
Pm 0.405 0.808 0.513
Pm 0.487 0.392 0.295
Pm 0.487 0.595 0.192
Pm 0.513 0.405 0.808
Pm 0.513 0.608 0.705
Pm 0.595 0.192 0.487
Pm 0.595 0.903 0.108
Pm 0.597 0.192 0.205
Pm 0.597 0.905 0.392
Pm 0.608 0.403 0.095
Pm 0.608 0.705 0.513
Pm 0.692 0.095 0.987
Pm 0.692 0.097 0.705
Pm 0.705 0.513 0.608
Pm 0.705 0.692 0.097
Pm 0.795 0.403 0.808
Pm 0.795 0.892 0.987
Pm 0.808 0.513 0.405
Pm 0.808 0.795 0.403
Pm 0.892 0.405 0.097
Pm 0.892 0.987 0.795
Pm 0.903 0.108 0.595
Pm 0.903 0.295 0.308
Pm 0.905 0.013 0.308
Pm 0.905 0.392 0.597
Pm 0.987 0.692 0.095
Pm 0.987 0.795 0.892
H 0.000 0.000 0.000
H 0.000 0.000 0.500
H 0.000 0.500 0.000
H 0.000 0.500 0.500
H 0.125 0.750 0.875
H 0.125 0.875 0.250
H 0.250 0.125 0.875
H 0.250 0.625 0.375
H 0.375 0.250 0.625
H 0.375 0.625 0.750
H 0.500 0.000 0.000
H 0.500 0.000 0.500
H 0.500 0.500 0.000
H 0.500 0.500 0.500
H 0.625 0.375 0.250
H 0.625 0.750 0.375
H 0.750 0.375 0.625
H 0.750 0.875 0.125
H 0.875 0.125 0.750
H 0.875 0.250 0.125


no.,energy (eV/atom)
1,-5.511
2,-6.408
3,-2.878
4,-5.183
5,-8.709
6,-1.737
7,-2.959
8,-7.993
9,-7.071
10,-8.999
11,-8.088
12,-6.587
13,-0.999
14,-10.924
15,-1.056
16,-7.382
17,-5.307
18,-3.112
19,-4.053